1.
A relaxed PrTl3Sn2Te6 crystal, computed with PBE.

Structure (POSCAR):
```
PrTl3Sn2Te6
1.0
3.9427 -6.8252 0.0000
3.9427 6.8252 0.0000
-2.6409 0.0000 7.8589
Pr Tl Sn Te
1 3 2 6
direct
0.0000 0.0000 0.0000
0.1624 0.8376 0.5000
0.5000 0.5000 0.5000
0.8376 0.1624 0.5000
0.3328 0.6672 0.0000
0.6672 0.3328 0.0000
0.0746 0.4150 0.2230
0.2678 0.2678 0.7804
0.4150 0.0746 0.2230
0.5850 0.9254 0.7770
0.7322 0.7322 0.2196
0.9254 0.5850 0.7770
```

=====

2.
A relaxed PrYSnTe crystal, computed with PBE.

Structure (POSCAR):
```
PrYSnTe
1.0
2.2372 1.2916 7.3536
-2.2372 1.2916 7.3536
0.0000 -2.5833 7.3536
Pr Y Sn Te
1 1 1 1
direct
0.0000 0.0000 0.0000
0.5073 0.5073 0.5073
0.2506 0.2506 0.2506
0.7576 0.7576 0.7576
```

=====

3.
A relaxed PrTh2Sn9 crystal, computed with PBE.

Structure (POSCAR):
```
PrTh2Sn9
1.0
4.7584 0.0000 0.0000
0.0000 4.7584 0.0000
0.0000 0.0000 14.3185
Pr Th Sn
1 2 9
direct
0.0000 0.0000 0.0000
0.0000 0.0000 0.3357
0.0000 0.0000 0.6643
0.0000 0.5000 0.1683
0.0000 0.5000 0.5000
0.0000 0.5000 0.8317
0.5000 0.0000 0.1683
0.5000 0.0000 0.5000
0.5000 0.0000 0.8317
0.5000 0.5000 0.0000
0.5000 0.5000 0.3332
0.5000 0.5000 0.6668
```

Properties
The formation enthalpy at 0 K is -0.46 eV per atom.

=====

4.
A relaxed PrTh2Sn2 crystal, computed with PBE.

Structure (POSCAR):
```
PrTh2Sn2
1.0
5.2856 0.0000 0.0000
-2.6428 4.5775 0.0000
0.0000 0.0000 12.9379
Pr Th Sn
2 4 4
direct
0.3333 0.6667 0.2500
0.6667 0.3333 0.7500
0.3333 0.6667 0.5349
0.3333 0.6667 0.9651
0.6667 0.3333 0.0349
0.6667 0.3333 0.4651
0.0000 0.0000 0.1255
0.0000 0.0000 0.3745
0.0000 0.0000 0.6255
0.0000 0.0000 0.8745
```

Properties
The formation enthalpy at 0 K is -0.22 eV per atom.

=====

5.
A relaxed Pr2ThSn crystal, computed with PBE.

Structure (POSCAR):
```
Pr2ThSn
1.0
1.8038 1.0414 12.2098
-1.8038 1.0414 12.2098
0.0000 -2.0829 12.2098
Pr Th Sn
2 1 1
direct
0.0882 0.0882 0.0882
0.9118 0.9118 0.9118
0.5000 0.5000 0.5000
0.0000 0.0000 0.0000
```

Properties
The calculation puts the energy above the most stable polymorph in this dataset at 0.446 eV per atom. The formation enthalpy at 0 K is 0.07 eV per atom.

=====

6.
A relaxed PrTh3Sn12 crystal, computed with PBE.

Structure (POSCAR):
```
PrTh3Sn12
1.0
4.7978 0.0000 0.0000
0.0000 4.7978 0.0000
0.0000 0.0000 18.7532
Pr Th Sn
1 3 12
direct
0.0000 0.0000 0.0000
0.0000 0.0000 0.2513
0.0000 0.0000 0.5000
0.0000 0.0000 0.7487
0.0000 0.5000 0.1258
0.0000 0.5000 0.3753
0.0000 0.5000 0.6247
0.0000 0.5000 0.8742
0.5000 0.0000 0.1258
0.5000 0.0000 0.3753
0.5000 0.0000 0.6247
0.5000 0.0000 0.8742
0.5000 0.5000 0.0000
0.5000 0.5000 0.2496
0.5000 0.5000 0.5000
0.5000 0.5000 0.7504
```

Properties
The formation enthalpy at 0 K is -0.46 eV per atom.

=====

7.
A relaxed Pr4ThSn15 crystal, computed with PBE.

Structure (POSCAR):
```
Pr4ThSn15
1.0
4.7578 0.0000 0.0000
0.0000 4.7578 0.0000
0.0000 0.0000 24.1997
Pr Th Sn
4 1 15
direct
0.0000 0.0000 0.1006
0.0000 0.0000 0.3041
0.0000 0.0000 0.6959
0.0000 0.0000 0.8994
0.0000 0.0000 0.5000
0.0000 0.5000 0.0000
0.0000 0.5000 0.2017
0.0000 0.5000 0.4024
0.0000 0.5000 0.5976
0.0000 0.5000 0.7983
0.5000 0.0000 0.0000
0.5000 0.0000 0.2017
0.5000 0.0000 0.4024
0.5000 0.0000 0.5976
0.5000 0.0000 0.7983
0.5000 0.5000 0.1009
0.5000 0.5000 0.3010
0.5000 0.5000 0.5000
0.5000 0.5000 0.6990
0.5000 0.5000 0.8991
```

Properties
The formation enthalpy at 0 K is -0.49 eV per atom.

=====

8.
A relaxed Pr2ThSn crystal, computed with PBE.

Structure (POSCAR):
```
Pr2ThSn
1.0
5.0042 0.0000 0.0000
0.0000 5.0042 0.0000
0.0000 0.0000 4.9008
Pr Th Sn
2 1 1
direct
0.0000 0.5000 0.0000
0.5000 0.0000 0.0000
0.0000 0.0000 0.5000
0.5000 0.5000 0.5000
```

Properties
The calculation puts the energy above the most stable polymorph in this dataset at 0.000 eV per atom. The formation enthalpy at 0 K is -0.38 eV per atom.

=====

9.
A relaxed Pr2Th3Sn4 crystal, computed with PBE.

Structure (POSCAR):
```
Pr2Th3Sn4
1.0
8.6579 0.0000 0.0000
0.0000 8.5303 0.0000
-3.2540 0.0000 7.6732
Pr Th Sn
4 6 8
direct
0.2027 0.1740 0.0580
0.2027 0.3260 0.5580
0.7973 0.6740 0.4420
0.7973 0.8260 0.9420
0.2416 0.6717 0.2233
0.2416 0.8283 0.7233
0.5000 0.0000 0.5000
0.5000 0.5000 0.0000
0.7584 0.1717 0.2767
0.7584 0.3283 0.7767
0.0847 0.5281 0.8241
0.0847 0.9719 0.3241
0.4894 0.1308 0.8694
0.4894 0.3692 0.3694
0.5106 0.6308 0.6306
0.5106 0.8692 0.1306
0.9153 0.0281 0.6759
0.9153 0.4719 0.1759
```

Properties
The formation enthalpy at 0 K is -0.63 eV per atom.

=====

10.
A relaxed Pr2ThSn crystal, computed with PBE.

Structure (POSCAR):
```
Pr2ThSn
1.0
4.1190 0.0000 0.0000
0.0000 4.1190 0.0000
0.0000 0.0000 7.3106
Pr Th Sn
2 1 1
direct
0.0000 0.0000 0.2207
0.0000 0.0000 0.7793
0.5000 0.5000 0.5000
0.5000 0.5000 0.0000
```

Properties
The calculation puts the energy above the most stable polymorph in this dataset at 0.079 eV per atom. The formation enthalpy at 0 K is -0.30 eV per atom.

=====

11.
A relaxed PrThZnSn crystal, computed with PBE.

Structure (POSCAR):
```
PrThZnSn
1.0
0.0000 3.8068 3.8068
3.8068 0.0000 3.8068
3.8068 3.8068 0.0000
Pr Th Zn Sn
1 1 1 1
direct
0.0000 0.0000 0.0000
0.5000 0.5000 0.5000
0.2500 0.2500 0.2500
0.7500 0.7500 0.7500
```

Properties
The formation enthalpy at 0 K is -0.36 eV per atom.

=====

12.
A relaxed Pr6TiSn10 crystal, computed with PBE.

Structure (POSCAR):
```
Pr6TiSn10
1.0
9.4424 0.0000 0.0000
-4.7212 8.1773 0.0000
0.0000 0.0000 6.2879
Pr Ti Sn
6 1 10
direct
0.0000 0.3885 0.2580
0.0000 0.6115 0.7420
0.3885 0.0000 0.2580
0.3885 0.3885 0.7420
0.6115 0.0000 0.7420
0.6115 0.6115 0.2580
0.0000 0.0000 0.5000
0.0000 0.2243 0.7944
0.0000 0.7757 0.2056
0.2243 0.0000 0.7944
0.2243 0.2243 0.2056
0.3333 0.6667 0.0000
0.3333 0.6667 0.5000
0.6667 0.3333 0.0000
0.6667 0.3333 0.5000
0.7757 0.0000 0.2056
0.7757 0.7757 0.7944
```

Properties
The formation enthalpy at 0 K is -0.55 eV per atom.

=====

13.
A relaxed PrTiSn2 crystal, computed with PBE.

Structure (POSCAR):
```
PrTiSn2
1.0
1.6557 0.9559 11.1329
-1.6557 0.9559 11.1329
0.0000 -1.9118 11.1329
Pr Ti Sn
1 1 2
direct
0.0000 0.0000 0.0000
0.5000 0.5000 0.5000
0.0978 0.0978 0.0978
0.9022 0.9022 0.9022
```

Properties
The calculation puts the energy above the most stable polymorph in this dataset at 0.408 eV per atom. The formation enthalpy at 0 K is 0.05 eV per atom.

=====

14.
A relaxed PrTiSn2 crystal, computed with PBE.

Structure (POSCAR):
```
PrTiSn2
1.0
3.7703 0.0000 0.0000
0.0000 3.7703 0.0000
0.0000 0.0000 6.8977
Pr Ti Sn
1 1 2
direct
0.0000 0.0000 0.0000
0.0000 0.0000 0.5000
0.5000 0.5000 0.2925
0.5000 0.5000 0.7075
```

Properties
The calculation puts the energy above the most stable polymorph in this dataset at 0.000 eV per atom. The formation enthalpy at 0 K is -0.36 eV per atom.

=====

15.
A relaxed Pr2TlSn crystal, computed with PBE.

Structure (POSCAR):
```
Pr2TlSn
1.0
2.0530 1.1853 9.0905
-2.0530 1.1853 9.0905
0.0000 -2.3706 9.0905
Pr Tl Sn
2 1 1
direct
0.2466 0.2466 0.2466
0.7534 0.7534 0.7534
0.0000 0.0000 0.0000
0.5000 0.5000 0.5000
```

Properties
The formation enthalpy at 0 K is -0.40 eV per atom.

=====

16.
A relaxed PrTlSn2 crystal, computed with PBE.

Structure (POSCAR):
```
PrTlSn2
1.0
1.7310 0.9994 12.1880
-1.7310 0.9994 12.1880
0.0000 -1.9988 12.1880
Pr Tl Sn
1 1 2
direct
0.0000 0.0000 0.0000
0.5000 0.5000 0.5000
0.0887 0.0887 0.0887
0.9113 0.9113 0.9113
```

Properties
The calculation puts the energy above the most stable polymorph in this dataset at 0.577 eV per atom. The formation enthalpy at 0 K is 0.11 eV per atom.

=====

17.
A relaxed Pr6Tl5Sn crystal, computed with PBE.

Structure (POSCAR):
```
Pr6Tl5Sn
1.0
2.7825 -8.3680 0.0000
2.7825 8.3680 0.0000
0.0000 0.0000 7.8020
Pr Tl Sn
6 5 1
direct
0.0000 0.0000 0.2450
0.0000 0.0000 0.7550
0.3356 0.6644 0.2508
0.3356 0.6644 0.7492
0.6644 0.3356 0.2508
0.6644 0.3356 0.7492
0.1665 0.8335 0.5000
0.1722 0.8278 0.0000
0.5000 0.5000 0.5000
0.8278 0.1722 0.0000
0.8335 0.1665 0.5000
0.5000 0.5000 0.0000
```

Properties
The formation enthalpy at 0 K is -0.45 eV per atom.

=====

18.
A relaxed Pr4Tl2Sn crystal, computed with PBE.

Structure (POSCAR):
```
Pr4Tl2Sn
1.0
2.7437 1.5841 8.9435
-2.7437 1.5841 8.9435
0.0000 -3.1682 8.9435
Pr Tl Sn
4 2 1
direct
0.1228 0.1228 0.1228
0.3761 0.3761 0.3761
0.6239 0.6239 0.6239
0.8772 0.8772 0.8772
0.2560 0.2560 0.2560
0.7440 0.7440 0.7440
0.5000 0.5000 0.5000
```

Properties
The calculation puts the energy above the most stable polymorph in this dataset at 0.110 eV per atom. The formation enthalpy at 0 K is -0.33 eV per atom.

=====

19.
A relaxed PrTlSn2 crystal, computed with PBE.

Structure (POSCAR):
```
PrTlSn2
1.0
4.2671 0.0000 0.0000
0.0000 4.2671 0.0000
0.0000 0.0000 6.5001
Pr Tl Sn
1 1 2
direct
0.0000 0.0000 0.0000
0.0000 0.0000 0.5000
0.5000 0.5000 0.2363
0.5000 0.5000 0.7637
```

Properties
The calculation puts the energy above the most stable polymorph in this dataset at 0.142 eV per atom. The formation enthalpy at 0 K is -0.32 eV per atom.

=====

20.
A relaxed PrTl2Sn crystal, computed with PBE.

Structure (POSCAR):
```
PrTl2Sn
1.0
1.7967 1.0373 11.5678
-1.7967 1.0373 11.5678
0.0000 -2.0746 11.5678
Pr Tl Sn
1 2 1
direct
0.0000 0.0000 0.0000
0.0932 0.0932 0.0932
0.9068 0.9068 0.9068
0.5000 0.5000 0.5000
```

Properties
The calculation puts the energy above the most stable polymorph in this dataset at 0.473 eV per atom. The formation enthalpy at 0 K is 0.08 eV per atom.

=====

21.
A relaxed PrTlSn4 crystal, computed with PBE.

Structure (POSCAR):
```
PrTlSn4
1.0
0.0000 4.4253 4.4253
4.4253 0.0000 4.4253
4.4253 4.4253 0.0000
Pr Tl Sn
1 1 4
direct
0.0000 0.0000 0.0000
0.7500 0.7500 0.7500
0.3749 0.3749 0.3749
0.3749 0.3749 0.8754
0.3749 0.8754 0.3749
0.8754 0.3749 0.3749
```

Properties
The formation enthalpy at 0 K is -0.22 eV per atom.

=====

22.
A relaxed Pr4Tl5Sn2 crystal, computed with PBE.

Structure (POSCAR):
```
Pr4Tl5Sn2
1.0
8.1671 0.0000 0.0000
0.0000 4.3453 0.0000
-0.4184 0.0000 9.4912
Pr Tl Sn
4 5 2
direct
0.2148 0.0000 0.3680
0.2312 0.0000 0.9030
0.7688 0.0000 0.0970
0.7852 0.0000 0.6320
0.1379 0.5000 0.6278
0.4685 0.5000 0.1646
0.5000 0.5000 0.5000
0.5315 0.5000 0.8354
0.8621 0.5000 0.3722
0.0948 0.5000 0.1321
0.9052 0.5000 0.8679
```

Properties
The formation enthalpy at 0 K is -0.40 eV per atom.

=====

23.
A relaxed Pr3TlSn3 crystal, computed with PBE.

Structure (POSCAR):
```
Pr3TlSn3
1.0
9.3455 0.0000 0.0000
-4.6728 8.0935 0.0000
0.0000 0.0000 6.2334
Pr Tl Sn
6 2 6
direct
0.0757 0.6709 0.2500
0.3291 0.4048 0.2500
0.4048 0.0757 0.7500
0.5952 0.9243 0.2500
0.6709 0.5952 0.7500
0.9243 0.3291 0.7500
0.3333 0.6667 0.7500
0.6667 0.3333 0.2500
0.0588 0.7403 0.7500
0.2597 0.3186 0.7500
0.3186 0.0588 0.2500
0.6814 0.9412 0.7500
0.7403 0.6814 0.2500
0.9412 0.2597 0.2500
```

Properties
The formation enthalpy at 0 K is -0.40 eV per atom.

=====

24.
A relaxed Pr4Tl3Sn crystal, computed with PBE.

Structure (POSCAR):
```
Pr4Tl3Sn
1.0
4.4032 0.0000 0.0000
0.0000 5.2314 0.0000
0.0000 0.0000 10.4364
Pr Tl Sn
4 3 1
direct
0.0000 0.0000 0.0000
0.0000 0.0000 0.5000
0.0000 0.5000 0.2448
0.0000 0.5000 0.7552
0.5000 0.0000 0.2555
0.5000 0.0000 0.7445
0.5000 0.5000 0.5000
0.5000 0.5000 0.0000
```

Properties
The formation enthalpy at 0 K is -0.47 eV per atom.

=====

The records above yield total DFT energy (no corrections) values of -44.7, -22.8, -61.2, -57.4, -20.7, -82.5, -96.3, -22.5, -106.9, -22.2, -18.9, -85.9, -20.5, -22.1, -17.5, -14.7, -49.9, -30.1, -16.4, -13.2, -24.5, -43.4, -63.1, -34.0 eV per cell, respectively.